(1)
Density functional theory data (PBE-GGA) for crystalline Ta2AlP at its relaxed geometry.

Cell and atoms, written as POSCAR:
```
Ta2AlP
1.0
3.7156 0.0000 0.0000
0.0000 2.9900 0.0225
0.0000 1.6749 5.8407
Ta P Al
2 1 1
Direct
0.0000 0.9225 0.9878 Ta
0.0000 0.5775 0.5122 Ta
0.5000 0.7500 0.7500 P
0.5000 0.2500 0.2500 Al
```

Output
Total DFT energy (no corrections) in eV per atom: -8.423
Space group: P2/m

(2)
Density functional theory data (PBE-GGA) for crystalline TaAl2P at its relaxed geometry.

Cell and atoms, written as POSCAR:
```
TaAl2P
1.0
4.4871 0.0000 0.0000
0.0000 2.9146 -0.0420
0.0000 1.7089 4.8570
P Ta Al
1 1 2
Direct
0.5000 0.2500 0.2500 P
0.5000 0.7500 0.7500 Ta
0.0000 0.3791 0.4909 Al
0.0000 0.1209 0.0091 Al
```

Output
Total DFT energy (no corrections) in eV per atom: -6.210
Space group: P2/m

(3)
Density functional theory data (PBE-GGA) for crystalline TaAl2P at its relaxed geometry.

Cell and atoms, written as POSCAR:
```
TaAl2P
1.0
2.8433 -0.0085 0.0000
-0.5446 2.7907 0.0000
0.0000 0.0000 8.1122
Al Ta P
2 1 1
Direct
0.0000 0.0000 0.4909 Al
0.0000 0.0000 0.0091 Al
0.5000 0.5000 0.7500 Ta
0.5000 0.5000 0.2500 P
```

Output
Total DFT energy (no corrections) in eV per atom: -6.160
Space group: Cmmm

(4)
Density functional theory data (PBE-GGA) for crystalline Ta2AlP at its relaxed geometry.

Cell and atoms, written as POSCAR:
```
Ta2AlP
1.0
-4.4334 -0.0877 -1.6731
-0.7394 -4.5645 -1.0395
1.5759 1.8746 4.0577
Al P Ta
1 1 2
Direct
0.2500 0.7500 0.5000 Al
0.7500 0.2500 0.5000 P
0.5000 0.5000 0.0000 Ta
0.0000 0.0000 0.0000 Ta
```

Output
Total DFT energy (no corrections) in eV per atom: -8.255
Space group: I4/mmm

(5)
Density functional theory data (PBE-GGA) for crystalline TaAl2P at its relaxed geometry.

Cell and atoms, written as POSCAR:
```
TaAl2P
1.0
-2.7827 -0.4116 1.8300
1.8735 -0.7677 2.6762
0.1502 5.3866 1.4399
Al P Ta
2 1 1
Direct
0.5000 0.5000 0.2509 Al
0.0000 0.0000 0.0021 Al
0.0000 0.0000 0.5143 P
0.5000 0.5000 0.7327 Ta
```

Output
Total DFT energy (no corrections) in eV per atom: -6.398
Space group: P4mm

(6)
Density functional theory data (PBE-GGA) for crystalline Ta2AlP at its relaxed geometry.

Cell and atoms, written as POSCAR:
```
Ta2AlP
1.0
-2.5697 1.4953 4.0453
-3.5941 -1.2562 3.2724
2.2149 -1.8328 3.5890
P Ta Al
1 2 1
Direct
0.2403 0.2403 0.1944 P
0.7666 0.7666 0.7020 Ta
0.9704 0.9704 0.0726 Ta
0.5227 0.5227 0.5311 Al
```

Output
Total DFT energy (no corrections) in eV per atom: -8.447
Space group: Cm

(7)
Density functional theory data (PBE-GGA) for crystalline TaAlP2 at its relaxed geometry.

Cell and atoms, written as POSCAR:
```
TaAlP2
1.0
4.6691 0.0184 -0.0035
0.9670 4.5679 0.0035
-2.2865 -2.9464 2.8092
P Al Ta
2 1 1
Direct
0.0253 0.0253 0.0000 P
0.4747 0.4747 0.0000 P
0.2500 0.7500 0.5000 Al
0.7500 0.2500 0.5000 Ta
```

Output
Total DFT energy (no corrections) in eV per atom: -6.827
Space group: Immm

(8)
Density functional theory data (PBE-GGA) for crystalline TaAl2P at its relaxed geometry.

Cell and atoms, written as POSCAR:
```
TaAl2P
1.0
-3.4979 -2.4712 3.2316
-0.9639 -2.4656 4.6666
-1.0674 3.7548 1.8702
Al P Ta
2 1 1
Direct
0.5210 0.5210 0.4975 Al
0.9790 0.9790 0.0025 Al
0.7500 0.7500 0.7500 P
0.2500 0.2500 0.2500 Ta
```

Output
Total DFT energy (no corrections) in eV per atom: -6.237
Space group: C2/m

(9)
Density functional theory data (PBE-GGA) for crystalline TaAlP2 at its relaxed geometry.

Cell and atoms, written as POSCAR:
```
TaAlP2
1.0
-2.1100 0.3769 -2.3224
3.0837 -0.8425 -2.9385
-0.9696 -4.2280 0.1947
P Al Ta
2 1 1
Direct
0.0000 0.5000 0.5000 P
0.0000 0.0000 0.0000 P
0.5000 0.0000 0.5000 Al
0.5000 0.5000 0.0000 Ta
```

Output
Total DFT energy (no corrections) in eV per atom: -6.712
Space group: P4/mmm

(10)
Density functional theory data (PBE-GGA) for crystalline TaAlP at its relaxed geometry.

Cell and atoms, written as POSCAR:
```
TaAlP
1.0
-2.9040 -2.9826 -4.9041
-1.3298 -5.0022 -3.5076
-2.7630 -0.4584 0.8144
P Ta Al
1 1 1
Direct
0.3250 0.3250 0.6750 P
0.6763 0.6763 0.3237 Ta
0.9986 0.9986 0.0014 Al
```

Output
Total DFT energy (no corrections) in eV per atom: -7.007
Space group: Fmm2

(11)
Density functional theory data (PBE-GGA) for crystalline TaAlP2W at its relaxed geometry.

Cell and atoms, written as POSCAR:
```
TaAlP2W
1.0
4.6631 0.0000 0.0000
0.0000 5.0994 0.0000
0.0000 0.0000 4.6631
Ta W P Al
1 1 2 1
Direct
0.0000 0.0000 0.0000 Ta
0.0000 0.5000 0.0000 W
0.5000 0.0000 0.0000 P
0.0000 0.0000 0.5000 P
0.5000 0.5000 0.5000 Al
```

Output
Total DFT energy (no corrections) in eV per atom: -6.661
Space group: P4/mmm

(12)
Density functional theory data (PBE-GGA) for crystalline Al2TcP at its relaxed geometry.

Cell and atoms, written as POSCAR:
```
Al2TcP
1.0
-0.5401 3.5961 2.5680
-1.2698 -3.6823 2.1557
2.8578 -0.3482 1.0886
Al P Tc
2 1 1
Direct
0.5000 0.5000 0.0000 Al
0.0000 0.0000 0.0000 Al
0.5000 0.0000 0.5000 P
0.0000 0.5000 0.5000 Tc
```

Output
Total DFT energy (no corrections) in eV per atom: -5.993
Space group: Cmmm

Please write out number 8 again, unchanged.
Density functional theory data (PBE-GGA) for crystalline TaAl2P at its relaxed geometry.

Cell and atoms, written as POSCAR:
```
TaAl2P
1.0
-3.4979 -2.4712 3.2316
-0.9639 -2.4656 4.6666
-1.0674 3.7548 1.8702
Al P Ta
2 1 1
Direct
0.5210 0.5210 0.4975 Al
0.9790 0.9790 0.0025 Al
0.7500 0.7500 0.7500 P
0.2500 0.2500 0.2500 Ta
```

Output
Total DFT energy (no corrections) in eV per atom: -6.237
Space group: C2/m

Among the records above, which one has the highest total DFT energy (no corrections)?
Al2TcP

Which of these has the lowest total DFT energy (no corrections)?
number 6

The highest total DFT energy (no corrections) belongs to which entry?
Al2TcP